A plane-wave DFT calculation with SCAN was carried out for a PBEsol-optimized structure of Y2TaBe. Values from VASP.

DOS at the Fermi energy in states/eV/cell: 7.14
Formation energy in eV per formula unit: 2.018
Energy relative to the lowest polymorph listed for this composition in eV per atom: 0.2528
Volume in A^3/atom: 20.679

Cell and atoms, written as Quantum ESPRESSO input:
```
&SYSTEM
  ibrav = 0, nat = 8, ntyp = 3
/
ATOMIC_SPECIES
Y 88.91 Y.upf
Ta 180.95 Ta.upf
Be 9.01 Be.upf
CELL_PARAMETERS angstrom
4.399 0.000 0.000
0.000 4.399 0.000
0.000 0.000 8.548
ATOMIC_POSITIONS crystal
Y 0.000 0.500 0.250
Y 0.000 0.500 0.750
Y 0.500 0.000 0.250
Y 0.500 0.000 0.750
Ta 0.000 0.000 0.000
Ta 0.500 0.500 0.500
Be 0.000 0.000 0.500
Be 0.500 0.500 0.000
```


A plane-wave DFT calculation with SCAN was carried out for a PBEsol-optimized structure of Y2TaBe. Values from VASP.

DOS at the Fermi energy in states/eV/cell: 4.61
Formation energy in eV per formula unit: 2.254
Energy relative to the lowest polymorph listed for this composition in eV per atom: 0.3118
Volume in A^3/atom: 20.273

Cell and atoms, written as Quantum ESPRESSO input:
```
&SYSTEM
  ibrav = 0, nat = 8, ntyp = 3
/
ATOMIC_SPECIES
Y 88.91 Y.upf
Ta 180.95 Ta.upf
Be 9.01 Be.upf
CELL_PARAMETERS angstrom
3.343 0.000 0.000
0.000 4.577 0.000
0.000 0.000 10.601
ATOMIC_POSITIONS crystal
Y 0.000 0.000 0.203
Y 0.000 0.000 0.797
Y 0.500 0.500 0.297
Y 0.500 0.500 0.703
Ta 0.000 0.500 0.000
Ta 0.500 0.000 0.500
Be 0.000 0.500 0.500
Be 0.500 0.000 0.000
```


A plane-wave DFT calculation with SCAN was carried out for a PBEsol-optimized structure of YTa2Be. Values from VASP.

DOS at the Fermi energy in states/eV/cell: 7.01
Formation energy in eV per formula unit: 2.195
Energy relative to the lowest polymorph listed for this composition in eV per atom: 0.1293
Volume in A^3/atom: 18.231

Cell and atoms, written as Quantum ESPRESSO input:
```
&SYSTEM
  ibrav = 0, nat = 8, ntyp = 3
/
ATOMIC_SPECIES
Y 88.91 Y.upf
Ta 180.95 Ta.upf
Be 9.01 Be.upf
CELL_PARAMETERS angstrom
5.579 0.000 0.000
0.000 9.917 0.000
-1.388 0.000 2.636
ATOMIC_POSITIONS crystal
Y 0.000 0.000 0.000
Y 0.500 0.500 0.000
Ta 0.250 0.250 0.500
Ta 0.250 0.750 0.500
Ta 0.750 0.250 0.500
Ta 0.750 0.750 0.500
Be 0.000 0.500 0.000
Be 0.500 0.000 0.000
```


A plane-wave DFT calculation with SCAN was carried out for a PBEsol-optimized structure of Y2TaBe. Values from VASP.

DOS at the Fermi energy in states/eV/cell: 3.77
Formation energy in eV per formula unit: 1.007
Energy relative to the lowest polymorph listed for this composition in eV per atom: 0.0000
Volume in A^3/atom: 21.382

Cell and atoms, written as Quantum ESPRESSO input:
```
&SYSTEM
  ibrav = 0, nat = 4, ntyp = 3
/
ATOMIC_SPECIES
Y 88.91 Y.upf
Ta 180.95 Ta.upf
Be 9.01 Be.upf
CELL_PARAMETERS angstrom
3.279 0.000 0.000
0.000 3.279 0.000
0.000 0.000 7.954
ATOMIC_POSITIONS crystal
Y 0.000 0.000 0.000
Y 0.500 0.500 0.373
Ta 0.500 0.500 0.741
Be 0.000 0.000 0.602
```


Which value of formation energy does entry 4 give? 1.007 eV per formula unit


Repeat the third record exactly.
A plane-wave DFT calculation with SCAN was carried out for a PBEsol-optimized structure of YTa2Be. Values from VASP.

DOS at the Fermi energy in states/eV/cell: 7.01
Formation energy in eV per formula unit: 2.195
Energy relative to the lowest polymorph listed for this composition in eV per atom: 0.1293
Volume in A^3/atom: 18.231

Cell and atoms, written as Quantum ESPRESSO input:
```
&SYSTEM
  ibrav = 0, nat = 8, ntyp = 3
/
ATOMIC_SPECIES
Y 88.91 Y.upf
Ta 180.95 Ta.upf
Be 9.01 Be.upf
CELL_PARAMETERS angstrom
5.579 0.000 0.000
0.000 9.917 0.000
-1.388 0.000 2.636
ATOMIC_POSITIONS crystal
Y 0.000 0.000 0.000
Y 0.500 0.500 0.000
Ta 0.250 0.250 0.500
Ta 0.250 0.750 0.500
Ta 0.750 0.250 0.500
Ta 0.750 0.750 0.500
Be 0.000 0.500 0.000
Be 0.500 0.000 0.000
```